An optimized crystal structure of RbLaWO5, computed with PBE with a Hubbard U.

Values from the calculation:
DFT total energy, hartree per atom: -0.264
DOS at the Fermi energy, states/eV per atom: 0.000

a = 8.091 Å, b = 10.807 Å, c = 8.410 Å
α = 90.00°, β = 113.57°, γ = 90.00°
Space group C2/c (No. 15)
Asymmetric unit:
Rb: 0.000 0.179 0.250 [4 per cell]
La: 0.000 0.500 0.000 [4 per cell]
W: 0.000 0.182 0.750 [4 per cell]
O: 0.000 0.432 0.250 [4 per cell]
O: 0.091 0.280 0.627 [8 per cell]
O: 0.174 0.083 0.899 [8 per cell]